<i>
A geometry-optimized Ti2Be2Cd structure. Source: Alexandria, functional PBE.

Values from the calculation:
Its crystal system is tetragonal. Its density of states at the Fermi level is 11.10 states/eV/cell. For the magnetic moment, the calculation gives 0.00 μB/cell.

Lattice parameters (Å, degrees): 7.5739 7.5739 2.6358 90.00 90.00 90.00
Space group P4/mbm (No. 127)
Unique sites:
Ti (0.1248, 0.3752, 0.0000) (multiplicity 4)
Be (0.1707, 0.6707, 0.5000) (multiplicity 4)
Cd (0.0000, 0.0000, 0.0000) (multiplicity 2)

=====

<ii>
A geometry-optimized Ti2Be2Cd structure. Source: Alexandria, functional PBE.

Values from the calculation:
Its crystal system is tetragonal. Its density of states at the Fermi level is 7.33 states/eV/cell. For the magnetic moment, the calculation gives 4.78 μB/cell.

Lattice parameters (Å, degrees): 2.8788 2.8788 18.0416 90.00 90.00 90.00
Space group I4/mmm (No. 139)
Unique sites:
Ti (0.0000, 0.0000, 0.1259) (multiplicity 4)
Be (0.0000, 0.5000, 0.2500) (multiplicity 4)
Cd (0.0000, 0.0000, 0.5000) (multiplicity 2)

=====

Most stable: <ii>

=====

<i>
A geometry-optimized Be3TlCd structure. Source: Alexandria, functional PBE.

Values from the calculation:
Its crystal system is cubic. Its density of states at the Fermi level is 1.46 states/eV/cell. For the magnetic moment, the calculation gives 0.00 μB/cell.

Lattice parameters (Å, degrees): 4.6311 4.6311 4.6311 90.00 90.00 90.00
Space group Pm-3m (No. 221)
Unique sites:
Be (0.0000, 0.0000, 0.5000) (multiplicity 3)
Tl (0.0000, 0.0000, 0.0000) (multiplicity 1)
Cd (0.5000, 0.5000, 0.5000) (multiplicity 1)

=====

<ii>
A geometry-optimized Be3TlCd structure. Source: Alexandria, functional PBE.

Values from the calculation:
Its crystal system is cubic. Its density of states at the Fermi level is 0.99 states/eV/cell. For the magnetic moment, the calculation gives 0.00 μB/cell.

Lattice parameters (Å, degrees): 4.5774 4.5774 4.5774 90.00 90.00 90.00
Space group Pm-3m (No. 221)
Unique sites:
Be (0.0000, 0.0000, 0.5000) (multiplicity 3)
Tl (0.5000, 0.5000, 0.5000) (multiplicity 1)
Cd (0.0000, 0.0000, 0.0000) (multiplicity 1)

=====

Most stable: <ii>

=====

<i>
A geometry-optimized BeVCd3 structure. Source: Alexandria, functional PBE.

Values from the calculation:
Its crystal system is cubic. Its density of states at the Fermi level is 4.10 states/eV/cell. For the magnetic moment, the calculation gives 4.19 μB/cell.

Lattice parameters (Å, degrees): 5.3285 5.3285 5.3285 90.00 90.00 90.00
Space group Pm-3m (No. 221)
Unique sites:
Be (0.0000, 0.0000, 0.0000) (multiplicity 1)
V (0.5000, 0.5000, 0.5000) (multiplicity 1)
Cd (0.0000, 0.5000, 0.5000) (multiplicity 3)

=====

<ii>
A geometry-optimized BeVCd3 structure. Source: Alexandria, functional PBE.

Values from the calculation:
Its crystal system is cubic. Its density of states at the Fermi level is 4.67 states/eV/cell. For the magnetic moment, the calculation gives 3.48 μB/cell.

Lattice parameters (Å, degrees): 4.6349 4.6349 4.6349 90.00 90.00 90.00
Space group Pm-3m (No. 221)
Unique sites:
Be (0.0000, 0.0000, 0.0000) (multiplicity 1)
V (0.5000, 0.5000, 0.5000) (multiplicity 1)
Cd (0.0000, 0.0000, 0.5000) (multiplicity 3)

=====

Most stable: <ii>

=====

<i>
A geometry-optimized BeCd3W structure. Source: Alexandria, functional PBE.

Values from the calculation:
Its crystal system is cubic. Its density of states at the Fermi level is 3.57 states/eV/cell. For the magnetic moment, the calculation gives 2.49 μB/cell.

Lattice parameters (Å, degrees): 4.5787 4.5787 4.5787 90.00 90.00 90.00
Space group Pm-3m (No. 221)
Unique sites:
Be (0.0000, 0.0000, 0.0000) (multiplicity 1)
Cd (0.0000, 0.0000, 0.5000) (multiplicity 3)
W (0.5000, 0.5000, 0.5000) (multiplicity 1)

=====

<ii>
A geometry-optimized BeCd3W structure. Source: Alexandria, functional PBE.

Values from the calculation:
Its crystal system is cubic. Its density of states at the Fermi level is 3.55 states/eV/cell. For the magnetic moment, the calculation gives 3.55 μB/cell.

Lattice parameters (Å, degrees): 5.4520 5.4520 5.4520 90.00 90.00 90.00
Space group Pm-3m (No. 221)
Unique sites:
Be (0.0000, 0.0000, 0.0000) (multiplicity 1)
Cd (0.0000, 0.5000, 0.5000) (multiplicity 3)
W (0.5000, 0.5000, 0.5000) (multiplicity 1)

=====

Most stable: <i>

=====

<i>
A geometry-optimized BeCd2W2 structure. Source: Alexandria, functional PBE.

Values from the calculation:
Its crystal system is tetragonal. Its density of states at the Fermi level is 5.51 states/eV/cell. For the magnetic moment, the calculation gives 0.00 μB/cell.

Lattice parameters (Å, degrees): 3.6651 3.6651 14.0482 90.00 90.00 90.00
Space group I4/mmm (No. 139)
Unique sites:
Be (0.0000, 0.0000, 0.0000) (multiplicity 2)
Cd (0.0000, 0.5000, 0.2500) (multiplicity 4)
W (0.0000, 0.0000, 0.4189) (multiplicity 4)

=====

<ii>
A geometry-optimized BeCd2W2 structure. Source: Alexandria, functional PBE.

Values from the calculation:
Its crystal system is tetragonal. Its density of states at the Fermi level is 7.80 states/eV/cell. For the magnetic moment, the calculation gives 0.00 μB/cell.

Lattice parameters (Å, degrees): 6.0717 6.0717 4.7376 90.00 90.00 90.00
Space group P4/mbm (No. 127)
Unique sites:
Be (0.0000, 0.0000, 0.0000) (multiplicity 2)
Cd (0.1667, 0.3333, 0.5000) (multiplicity 4)
W (0.1515, 0.6515, 0.0000) (multiplicity 4)

=====

Most stable: <ii>

=====

<i>
A geometry-optimized YBeCd structure. Source: Alexandria, functional PBE.

Values from the calculation:
Its crystal system is orthorhombic. Its density of states at the Fermi level is 7.94 states/eV/cell. For the magnetic moment, the calculation gives 0.00 μB/cell.

Lattice parameters (Å, degrees): 4.5044 7.2248 7.5308 90.00 90.00 90.00
Space group Imm2 (No. 44)
Unique sites:
Y (0.0000, 0.0000, 0.0000) (multiplicity 2)
Y (0.0000, 0.5000, 0.0614) (multiplicity 2)
Be (0.0000, 0.1751, 0.3593) (multiplicity 4)
Cd (0.0000, 0.2818, 0.6906) (multiplicity 4)

=====

<ii>
A geometry-optimized YBeCd structure. Source: Alexandria, functional PBE.

Values from the calculation:
Its crystal system is cubic. Its density of states at the Fermi level is 11.60 states/eV/cell. For the magnetic moment, the calculation gives 0.00 μB/cell.

Lattice parameters (Å, degrees): 6.7580 6.7580 6.7580 90.00 90.00 90.00
Space group F-43m (No. 216)
Unique sites:
Y (0.0000, 0.0000, 0.0000) (multiplicity 4)
Be (0.2500, 0.2500, 0.2500) (multiplicity 4)
Cd (0.2500, 0.2500, 0.7500) (multiplicity 4)

=====

<iii>
A geometry-optimized YBeCd structure. Source: Alexandria, functional PBE.

Values from the calculation:
Its crystal system is orthorhombic. Its density of states at the Fermi level is 4.42 states/eV/cell. For the magnetic moment, the calculation gives 0.00 μB/cell.

Lattice parameters (Å, degrees): 3.2516 4.5226 8.6102 90.00 90.00 90.00
Space group Imm2 (No. 44)
Unique sites:
Y (0.0000, 0.0000, 0.0000) (multiplicity 2)
Be (0.0000, 0.0000, 0.6533) (multiplicity 2)
Cd (0.0000, 0.0000, 0.3376) (multiplicity 2)

=====

Most stable: <i>